Below is a relaxed FeAu3I crystal, with properties calculated at the GGA-PBEsol level.

Total DFT energy (no corrections) = -3.6476 eV/atom
E_form (uncorrected) = 0.85 eV per atom

Cell and atoms, written as CIF:
```
data_FeAu3I
_cell_length_a 4.814
_cell_length_b 4.814
_cell_length_c 4.814
_cell_angle_alpha 90.00
_cell_angle_beta 90.00
_cell_angle_gamma 90.00
_space_group_name_H-M_alt 'P m -3 m'
_space_group_IT_number 221
_space_group_name_Hall '-P 4 2 3'
loop_
_atom_site_label
_atom_site_fract_x
_atom_site_fract_y
_atom_site_fract_z
Fe1 0.000 0.000 0.000
Au1 0.000 0.000 0.500
I1 0.500 0.500 0.500
```

=====

Below is a relaxed HfZrMn3 crystal, with properties calculated at the GGA-PBEsol level.

Total DFT energy (no corrections) = -8.5238 eV/atom

Cell and atoms, written as CIF:
```
data_HfZrMn3
_cell_length_a 4.498
_cell_length_b 4.498
_cell_length_c 4.498
_cell_angle_alpha 90.00
_cell_angle_beta 90.00
_cell_angle_gamma 90.00
_space_group_name_H-M_alt 'P m -3 m'
_space_group_IT_number 221
_space_group_name_Hall '-P 4 2 3'
loop_
_atom_site_label
_atom_site_fract_x
_atom_site_fract_y
_atom_site_fract_z
Hf1 0.000 0.000 0.000
Zr1 0.500 0.500 0.500
Mn1 0.000 0.000 0.500
```

=====

Below is a relaxed Cu2OF2 crystal, with properties calculated at the GGA-PBEsol level.

Total DFT energy (no corrections) = -4.6077 eV/atom
E_form (uncorrected) = -1.05 eV per atom

Cell and atoms, written as CIF:
```
data_Cu2OF2
_cell_length_a 5.903
_cell_length_b 9.624
_cell_length_c 9.892
_cell_angle_alpha 90.00
_cell_angle_beta 90.00
_cell_angle_gamma 90.00
_space_group_name_H-M_alt 'F d d d'
_space_group_IT_number 70
loop_
_space_group_symop_operation_xyz
'x,y,z'
'-x,-y,-z'
'-x+1/4,-y+1/4,z'
'x+1/4,y+1/4,-z'
'x,-y+1/4,-z+1/4'
'-x,y+1/4,z+1/4'
'-x+1/4,y,-z+1/4'
'x+1/4,-y,z+1/4'
'x,y+1/2,z+1/2'
'-x,-y+1/2,-z+1/2'
'-x+1/4,-y+3/4,z+1/2'
'x+1/4,y+3/4,-z+1/2'
'x,-y+3/4,-z+3/4'
'-x,y+3/4,z+3/4'
'-x+1/4,y+1/2,-z+3/4'
'x+1/4,-y+1/2,z+3/4'
'x+1/2,y,z+1/2'
'-x+1/2,-y,-z+1/2'
'-x+3/4,-y+1/4,z+1/2'
'x+3/4,y+1/4,-z+1/2'
'x+1/2,-y+1/4,-z+3/4'
'-x+1/2,y+1/4,z+3/4'
'-x+3/4,y,-z+3/4'
'x+3/4,-y,z+3/4'
'x+1/2,y+1/2,z'
'-x+1/2,-y+1/2,-z'
'-x+3/4,-y+3/4,z'
'x+3/4,y+3/4,-z'
'x+1/2,-y+3/4,-z+1/4'
'-x+1/2,y+3/4,z+1/4'
'-x+3/4,y+1/2,-z+1/4'
'x+3/4,-y+1/2,z+1/4'
loop_
_atom_site_label
_atom_site_fract_x
_atom_site_fract_y
_atom_site_fract_z
Cu1 0.000 0.000 0.000
O1 0.125 0.125 0.125
F1 0.125 0.125 0.386
```

=====

Below is a relaxed EuZrO3 crystal, with properties calculated at the GGA-PBEsol level.

Total DFT energy (no corrections) = -10.4114 eV/atom
E_form (uncorrected) = -3.33 eV per atom

Cell and atoms, written as CIF:
```
data_EuZrO3
_cell_length_a 5.825
_cell_length_b 8.103
_cell_length_c 5.688
_cell_angle_alpha 90.00
_cell_angle_beta 90.00
_cell_angle_gamma 90.00
_space_group_name_H-M_alt 'P n m a'
_space_group_IT_number 62
loop_
_space_group_symop_operation_xyz
'x,y,z'
'-x,-y,-z'
'-x+1/2,-y,z+1/2'
'x+1/2,y,-z+1/2'
'x+1/2,-y+1/2,-z+1/2'
'-x+1/2,y+1/2,z+1/2'
'-x,y+1/2,-z'
'x,-y+1/2,z'
loop_
_atom_site_label
_atom_site_fract_x
_atom_site_fract_y
_atom_site_fract_z
Eu1 0.049 0.250 0.013
Zr1 0.000 0.000 0.500
O1 0.029 0.750 0.406
O2 0.208 0.550 0.794
```